A relaxed SiTeMo2 crystal, computed with PBE-GGA.

Lattice parameters (Å, degrees): 4.869 4.869 4.869 128.88 128.88 75.20
Positions (direct):
Mo  0.000  0.000  0.000
Mo  0.250  0.750  0.500
Si  0.500  0.500  0.000
Te  0.750  0.250  0.500

Values from the calculation:
raw formation energy: 0.45 eV/atom